Entry 1:
TiBeAs2Br | meta-GGA SCAN | single point on PBEsol structure

Cell: 4.3183 4.3183 5.0429 Å, 90.00 90.00 90.00°
With the nearest neighbours (Å) after each atom.
Fractional positions:
Be1 0.0000 0.0000 0.0000  4 As 2.16
As1 0.0000 0.5000 0.0000  2 Be 2.16
As2 0.5000 0.0000 0.0000  2 Be 2.16
Br1 0.0000 0.0000 0.5000  2 Be 2.52
Ti1 0.5000 0.5000 0.5000  4 Br 3.05, 8 As 3.32

Results
Its uncorrected formation energy is 0.290 eV per atom. For the density of states at the Fermi level, the calculation gives 2.86 states/eV/f.u. As for the calculated volume: 94.0 Å³/f.u. As for the energy: -15.75 eV/atom.

***

Entry 2:
CuNiSe2N | meta-GGA SCAN | single point on PBEsol structure

Cell: 3.3050 4.8714 4.8714 Å, 90.00 90.00 90.00°
With the nearest neighbours (Å) after each atom.
Fractional positions:
Ni1 0.0000 0.0000 0.0000  2 N 1.65
Cu1 0.5000 0.5000 0.5000  8 Se 2.94
Se1 0.0000 0.0000 0.5000  2 Ni 2.44
Se2 0.0000 0.5000 0.0000  2 Ni 2.44
N1 0.5000 0.0000 0.0000  2 Ni 1.65

Results
Its uncorrected formation energy is 0.665 eV per atom. For the density of states at the Fermi level, the calculation gives 3.43 states/eV/f.u. As for the calculated volume: 78.4 Å³/f.u. As for the energy: -15.50 eV/atom.

***

Entry 3:
YMgIn3 | meta-GGA SCAN | single point on PBEsol structure

Cell: 5.1954 5.1954 5.1954 Å, 90.00 90.00 90.00°
With the nearest neighbours (Å) after each atom.
Fractional positions:
Y1 0.5000 0.5000 0.5000  12 In 3.67
Mg1 0.0000 0.0000 0.0000  6 In 2.60
In1 0.0000 0.5000 0.0000  2 Mg 2.60
In2 0.0000 0.0000 0.5000  2 Mg 2.60
In3 0.5000 0.0000 0.0000  2 Mg 2.60

Results
For the density of states at the Fermi level, the calculation gives 1.82 states/eV/f.u. Its calculated formation energy is 0.14 eV/atom. As for the calculated volume: 140.2 Å³/f.u. As for the energy: -26.46 eV/atom.

***

Entry 4:
LiPW | meta-GGA SCAN | single point on PBEsol structure

Cell: 2.7624 2.7624 6.4006 Å, 98.40 98.40 108.85°
With the nearest neighbours (Å) after each atom.
Fractional positions:
P1 0.6750 0.6750 0.3499  2 W 2.39, 2 Li 2.63
W1 0.3180 0.3180 0.6360  2 P 2.39
Li1 0.0070 0.0070 0.0141  2 P 2.63, 4 Li 2.76, 2 W 2.84

Results
For the density of states at the Fermi level, the calculation gives 1.11 states/eV/f.u. Its calculated formation energy is 0.15 eV/atom. As for the calculated volume: 44.7 Å³/f.u. As for the energy: -27.34 eV/atom. The offset from the most stable computed form is 0.0836 eV/atom.

***

Entry 5:
La2WSe | meta-GGA SCAN | single point on PBEsol structure

Cell: 3.5590 5.1691 5.1691 Å, 100.83 92.95 92.95°
With the nearest neighbours (Å) after each atom.
Fractional positions:
La1 0.0000 0.5000 0.0000  4 Se 3.06-3.21, 4 W 3.06-3.21, 2 La 3.29
La2 0.0000 0.0000 0.5000  4 W 3.06-3.21, 4 Se 3.06-3.21, 2 La 3.29
Se1 0.5000 0.0000 0.0000  8 La 3.06-3.21, 2 W 3.29
W1 0.5000 0.5000 0.5000  8 La 3.06-3.21, 2 Se 3.29

Results
Its uncorrected formation energy is -0.211 eV per atom. For the density of states at the Fermi level, the calculation gives 3.87 states/eV/f.u. As for the calculated volume: 93.1 Å³/f.u. As for the energy: -44.21 eV/atom. The offset from the most stable computed form is 0.0586 eV/atom.

***

Entry 6:
SiRhBr2 | meta-GGA SCAN | single point on PBEsol structure

Cell: 3.4131 3.4131 8.3256 Å, 78.17 78.17 60.00°
With the nearest neighbours (Å) after each atom.
Fractional positions:
Br1 0.2327 0.2327 0.3020  3 Rh 2.54
Br2 0.7673 0.7673 0.6980  3 Rh 2.54
Rh1 0.5000 0.5000 0.5000  6 Br 2.54
Si1 0.0000 0.0000 0.0000  6 Br 3.14, 6 Si 3.41

Results
Its uncorrected formation energy is 0.530 eV per atom. For the density of states at the Fermi level, the calculation gives 2.05 states/eV/f.u. As for the calculated volume: 81.6 Å³/f.u. As for the energy: -20.15 eV/atom. The offset from the most stable computed form is 0.0310 eV/atom.

***

Entry 7:
TiNb2Os | meta-GGA SCAN | single point on PBEsol structure

Cell: 4.4887 4.4887 4.4887 Å, 60.00 60.00 60.00°
With the nearest neighbours (Å) after each atom.
Fractional positions:
Nb1 0.2500 0.2500 0.2500  4 Os 2.75, 4 Ti 2.75
Nb2 0.7500 0.7500 0.7500  4 Os 2.75, 4 Ti 2.75
Os1 0.5000 0.5000 0.5000  8 Nb 2.75
Ti1 0.0000 0.0000 0.0000  8 Nb 2.75

Results
For the density of states at the Fermi level, the calculation gives 3.36 states/eV/f.u. Its calculated formation energy is -0.31 eV/atom. As for the calculated volume: 64.0 Å³/f.u. As for the energy: -38.85 eV/atom.

***

Entry 8:
YAs3Pd | meta-GGA SCAN | single point on PBEsol structure

Cell: 4.8178 4.8178 4.8178 Å, 90.00 90.00 90.00°
With the nearest neighbours (Å) after each atom.
Fractional positions:
Y1 0.5000 0.5000 0.5000  12 As 3.41
As1 0.0000 0.5000 0.0000  2 Pd 2.41
As2 0.0000 0.0000 0.5000  2 Pd 2.41
As3 0.5000 0.0000 0.0000  2 Pd 2.41
Pd1 0.0000 0.0000 0.0000  6 As 2.41

Results
For the density of states at the Fermi level, the calculation gives 2.91 states/eV/f.u. Its calculated formation energy is -0.15 eV/atom. As for the calculated volume: 111.8 Å³/f.u. As for the energy: -24.39 eV/atom.

***

Entry 9:
Ba2SrTiO | meta-GGA SCAN | single point on PBEsol structure

Cell: 5.0228 5.5467 5.5467 Å, 90.00 90.00 90.00°
With the nearest neighbours (Å) after each atom.
Fractional positions:
Sr1 0.5000 0.0000 0.0000  2 O 2.51
Ba1 0.0000 0.0000 0.5000  2 O 2.77
Ba2 0.0000 0.5000 0.0000  2 O 2.77
O1 0.0000 0.0000 0.0000  2 Sr 2.51, 4 Ba 2.77
Ti1 0.5000 0.5000 0.5000  8 Ba 3.74, 4 Sr 3.92

Results
Its uncorrected formation energy is -0.745 eV per atom. For the density of states at the Fermi level, the calculation gives 3.99 states/eV/f.u. As for the calculated volume: 154.5 Å³/f.u. As for the energy: -25.47 eV/atom.

***

Entry 10:
Li4Ti3Mn3Te2O16 | meta-GGA SCAN | single point on PBEsol structure

Cell: 5.9321 5.9250 10.1901 Å, 90.15 90.00 120.04°
With the nearest neighbours (Å) after each atom.
Fractional positions:
Mn1 0.1699 0.3398 0.2139  6 O 1.97-2.18
Mn2 0.8315 0.1634 0.7130  4 O 1.93-1.95
Mn3 0.3319 0.1634 0.7130  4 O 1.93-1.95
Te1 0.3366 0.6731 0.4936  1 O 1.94
Te2 0.6449 0.2898 0.9903  3 O 1.95-1.99
Li1 0.3241 0.6482 0.8997  3 O 1.93-1.99
Li2 0.9931 0.9862 0.9893  4 O 1.88-1.98
Li3 0.0032 0.0063 0.4930  4 O 1.85-1.98
Li4 0.6706 0.3413 0.4002  3 O 1.96-1.98
O1 0.4992 0.9983 0.3152  1 Li 1.96, 2 Ti 1.97
O2 0.3387 0.6773 0.1143  2 Ti 1.98, 1 Mn 2.01, 1 Li 2.19
O3 0.0048 0.0096 0.3115  1 Li 1.85, 1 Mn 1.97, 2 Ti 1.99
O4 0.0034 0.0068 0.8047  1 Li 1.88, 2 Mn 1.93, 1 Ti 2.04
O5 0.8493 0.6986 0.1185  2 Ti 1.93, 1 Li 1.98
O6 0.1697 0.3394 0.5817  1 Li 1.93, 1 Te 1.94
O7 0.6590 0.3179 0.6159  2 Mn 1.95, 1 Ti 1.99
O8 0.5077 0.0154 0.8577  1 Li 1.93, 1 Te 1.95
O9 0.6947 0.8471 0.6087  1 Mn 1.94, 1 Li 1.98, 1 Ti 2.04
O10 0.1524 0.8471 0.6087  1 Mn 1.94, 1 Li 1.98, 1 Ti 2.04
O11 0.5063 0.5448 0.3425  1 Ti 1.93, 1 Li 1.98
O12 0.0385 0.5448 0.3425  1 Ti 1.93, 1 Li 1.98
O13 0.9723 0.4805 0.8188  1 Ti 1.91, 1 Mn 1.95, 1 Li 1.99
O14 0.5082 0.4805 0.8188  1 Ti 1.91, 1 Mn 1.95, 1 Li 1.99
O15 0.8274 0.1420 0.0920  1 Li 1.95, 1 Te 1.99, 1 Ti 2.07, 1 Mn 2.16
O16 0.3146 0.1420 0.0920  1 Li 1.95, 1 Te 1.99, 1 Ti 2.07, 1 Mn 2.16
Ti1 0.8234 0.6468 0.7192  6 O 1.91-2.04
Ti2 0.6629 0.8293 0.2197  6 O 1.93-2.07
Ti3 0.1664 0.8293 0.2197  6 O 1.93-2.07

Results
Its uncorrected formation energy is -2.324 eV per atom. For the density of states at the Fermi level, the calculation gives 3.23 states/eV/f.u. As for the calculated volume: 310.0 Å³/f.u. As for the energy: -12.56 eV/atom.

***

Number 1: spin magnetization 1.37 μB/f.u.. Number 2: spin magnetization 0.00 μB/f.u.. Number 3: spin magnetization 0.00 μB/f.u.. Number 4: spin magnetization 0.00 μB/f.u.. Number 5: spin magnetization 0.00 μB/f.u.. Number 6: spin magnetization 1.25 μB/f.u.. Number 7: spin magnetization 0.00 μB/f.u.. Number 8: spin magnetization 0.00 μB/f.u.. Number 9: spin magnetization 4.15 μB/f.u.. Number 10: spin magnetization 3.18 μB/f.u..